No. 1
A geometry-optimized LaBeTe2N structure. Source: the Alexandria database, functional GGA-PBE.

abc: 5.8562 5.8562 3.2182
angles: 90.00 90.00 90.00
Each line ends with the local moment (μB).
Fractional coordinates of all 5 atoms:
1 Te 0.0000 0.5000 0.0000  0.06
2 Te 0.5000 0.0000 0.0000  0.06
3 N 0.0000 0.0000 0.5000  0.24
4 La 0.5000 0.5000 0.5000  0.01
5 Be 0.0000 0.0000 0.0000  -0.01

Values from the calculation:
For the raw formation energy, the calculation gives -280 meV/atom. Its space-group type is P4/mmm. The calculation puts the volume at 22.1 Å³ per atom. The calculation puts the density at 6.28 Mg/m³. The density of states at the Fermi level comes out at 2.7 states/eV/f.u.

No. 2
A geometry-optimized Cs3CoCl structure. Source: the Alexandria database, functional GGA-PBE.

abc: 6.7109 6.7109 6.7109
angles: 90.00 90.00 90.00
Each line ends with the local moment (μB).
Fractional coordinates of all 5 atoms:
1 Cl 0.0000 0.0000 0.0000  0.00
2 Co 0.5000 0.5000 0.5000  2.02
3 Cs 0.5000 0.0000 0.0000  -0.01
4 Cs 0.0000 0.0000 0.5000  -0.01
5 Cs 0.0000 0.5000 0.0000  -0.01

Values from the calculation:
For the raw formation energy, the calculation gives -105 meV/atom. Its space-group type is Pm-3m. The calculation puts the volume at 60.4 Å³ per atom. The calculation puts the density at 2.71 Mg/m³. The density of states at the Fermi level comes out at 5.4 states/eV/f.u.

No. 3
A geometry-optimized Y3GaPb structure. Source: the Alexandria database, functional GGA-PBE.

abc: 5.4175 5.4175 5.4175
angles: 90.00 90.00 90.00
Fractional coordinates of all 5 atoms:
1 Y 0.5000 0.0000 0.0000
2 Y 0.0000 0.5000 0.0000
3 Y 0.0000 0.0000 0.5000
4 Ga 0.0000 0.0000 0.0000
5 Pb 0.5000 0.5000 0.5000

Values from the calculation:
The energy relative to the elements comes out at -1.26 eV/f.u. Its space-group type is Pm-3m. The calculation puts the volume at 31.8 Å³ per atom. The calculation puts the density at 5.68 Mg/m³. The density of states at the Fermi level comes out at 1.0 states/eV/f.u.

No. 4
A geometry-optimized Ag2Bi2Pd15 structure. Source: the Alexandria database, functional GGA-PBE.

abc: 7.0283 7.0283 7.0283
angles: 80.85 80.85 80.85
Fractional coordinates of all 19 atoms:
1 Pd 0.8322 0.3384 0.3384
2 Pd 0.0000 0.3260 0.6740
3 Pd 0.0000 0.5000 0.0000
4 Pd 0.1678 0.6616 0.6616
5 Pd 0.6740 0.3260 0.0000
6 Pd 0.6740 0.0000 0.3260
7 Pd 0.3384 0.3384 0.8322
8 Pd 0.6616 0.1678 0.6616
9 Pd 0.5000 0.0000 0.0000
10 Pd 0.3384 0.8322 0.3384
11 Pd 0.3260 0.0000 0.6740
12 Pd 0.6616 0.6616 0.1678
13 Pd 0.0000 0.0000 0.5000
14 Pd 0.3260 0.6740 0.0000
15 Pd 0.0000 0.6740 0.3260
16 Bi 0.6452 0.6452 0.6452
17 Bi 0.3548 0.3548 0.3548
18 Ag 0.0969 0.0969 0.0969
19 Ag 0.9031 0.9031 0.9031

Values from the calculation:
The energy relative to the elements comes out at 0.38 eV/f.u. Its space-group type is R-3m. The calculation puts the volume at 17.6 Å³ per atom. The calculation puts the density at 11.05 Mg/m³. The density of states at the Fermi level comes out at 19.8 states/eV/f.u.

No. 5
A geometry-optimized ZnHg2Sb structure. Source: the Alexandria database, functional GGA-PBE.

abc: 3.3011 3.3011 9.3614
angles: 90.00 90.00 106.02
Fractional coordinates of all 4 atoms:
1 Sb 0.0000 0.0000 0.5378
2 Hg 0.0000 0.0000 0.9689
3 Hg 0.5000 0.5000 0.2389
4 Zn 0.5000 0.5000 0.7544

Values from the calculation:
For the raw formation energy, the calculation gives 128 meV/atom. Its space-group type is Cmm2. The calculation puts the volume at 24.5 Å³ per atom. The calculation puts the density at 9.96 Mg/m³. The density of states at the Fermi level comes out at 1.4 states/eV/f.u.

No. 6
A geometry-optimized Ir6OsPt structure. Source: the Alexandria database, functional GGA-PBE.

abc: 3.8759 3.8759 7.7839
angles: 90.00 90.00 90.00
Fractional coordinates of all 8 atoms:
1 Pt 0.0000 0.0000 0.0000
2 Ir 0.5000 0.5000 0.5000
3 Ir 0.5000 0.0000 0.2566
4 Ir 0.0000 0.5000 0.2566
5 Ir 0.5000 0.5000 0.0000
6 Ir 0.0000 0.5000 0.7434
7 Ir 0.5000 0.0000 0.7434
8 Os 0.0000 0.0000 0.5000

Values from the calculation:
The energy relative to the elements comes out at 0.03 eV/f.u. Its space-group type is P4/mmm. The calculation puts the volume at 14.6 Å³ per atom. The calculation puts the density at 21.85 Mg/m³. The density of states at the Fermi level comes out at 4.7 states/eV/f.u.

No. 7
A geometry-optimized Tl2Cu2SnBr6 structure. Source: the Alexandria database, functional GGA-PBE.

abc: 7.9438 7.8363 7.9971
angles: 116.25 90.00 120.45
Fractional coordinates of all 11 atoms:
1 Tl 0.7363 0.4725 0.2027
2 Tl 0.2637 0.5275 0.7973
3 Br 0.2493 0.4985 0.3665
4 Br 0.1853 0.8765 0.1818
5 Br 0.8147 0.1235 0.8182
6 Br 0.3088 0.1235 0.8182
7 Br 0.6912 0.8765 0.1818
8 Br 0.7507 0.5015 0.6335
9 Sn 0.5000 0.0000 0.5000
10 Cu 0.9568 0.9136 0.8065
11 Cu 0.0432 0.0864 0.1935

Values from the calculation:
For the raw formation energy, the calculation gives -588 meV/atom. Its space-group type is C2/m. The calculation puts the volume at 33.5 Å³ per atom. The calculation puts the density at 5.11 Mg/m³.

No. 8
A geometry-optimized Pm3AgOs structure. Source: the Alexandria database, functional GGA-PBE.

abc: 7.5359 8.7917 8.7917
angles: 79.09 89.99 89.99
Fractional coordinates of all 20 atoms:
1 Pm 0.7099 0.9362 0.5641
2 Pm 0.4032 0.4611 0.3204
3 Pm 0.2099 0.5641 0.9362
4 Pm 0.9032 0.3204 0.4611
5 Pm 0.0968 0.9615 0.8203
6 Pm 0.5968 0.8203 0.9615
7 Pm 0.9032 0.0385 0.1797
8 Pm 0.2901 0.0638 0.4359
9 Pm 0.4032 0.1797 0.0385
10 Pm 0.0968 0.6796 0.5389
11 Pm 0.7901 0.4359 0.0638
12 Pm 0.5968 0.5389 0.6796
13 Os 0.6209 0.1977 0.3021
14 Os 0.1209 0.3021 0.1977
15 Os 0.3791 0.8023 0.6979
16 Os 0.8791 0.6979 0.8023
17 Ag 0.2500 0.3239 0.6761
18 Ag 0.7500 0.6761 0.3239
19 Ag 0.7500 0.1762 0.8238
20 Ag 0.2500 0.8238 0.1762

Values from the calculation:
The energy relative to the elements comes out at -0.37 eV/f.u. Its space-group type is Cmce. The calculation puts the volume at 28.6 Å³ per atom. The calculation puts the density at 8.51 Mg/m³. The density of states at the Fermi level comes out at 3.6 states/eV/f.u.

No. 9
A geometry-optimized BeCu2Ir structure. Source: the Alexandria database, functional GGA-PBE.

abc: 8.2735 8.2735 8.2735
angles: 18.21 18.21 18.21
Fractional coordinates of all 4 atoms:
1 Cu 0.0090 0.0090 0.0090
2 Cu 0.4910 0.4910 0.4910
3 Ir 0.2500 0.2500 0.2500
4 Be 0.7500 0.7500 0.7500

Values from the calculation:
The energy relative to the elements comes out at 0.24 eV/f.u. Its space-group type is R-3m. The calculation puts the volume at 12.1 Å³ per atom. The calculation puts the density at 11.29 Mg/m³. The density of states at the Fermi level comes out at 1.9 states/eV/f.u.

No. 10
A geometry-optimized GaBiPd2 structure. Source: the Alexandria database, functional GGA-PBE.

abc: 4.1474 6.5126 5.8386
angles: 90.00 90.00 90.00
Fractional coordinates of all 8 atoms:
1 Ga 0.5000 0.6264 0.5000
2 Ga 0.0000 0.3736 0.0000
3 Pd 0.5000 0.3081 0.2469
4 Pd 0.0000 0.6919 0.2531
5 Pd 0.5000 0.3081 0.7531
6 Pd 0.0000 0.6919 0.7469
7 Bi 0.5000 0.9103 0.0000
8 Bi 0.0000 0.0897 0.5000

Values from the calculation:
The energy relative to the elements comes out at -1.71 eV/f.u. Its space-group type is Pmmn. The calculation puts the volume at 19.7 Å³ per atom. The calculation puts the density at 10.35 Mg/m³. The density of states at the Fermi level comes out at 1.6 states/eV/f.u.

No. 11
A geometry-optimized Ca3Zn2 structure. Source: the Alexandria database, functional GGA-PBE.

abc: 5.2063 5.2063 6.2879
angles: 90.00 90.00 120.00
Fractional coordinates of all 5 atoms:
1 Ca 0.3333 0.6667 0.3351
2 Ca 0.0000 0.0000 0.0000
3 Ca 0.6667 0.3333 0.6649
4 Zn 0.3333 0.6667 0.8522
5 Zn 0.6667 0.3333 0.1478

Values from the calculation:
The energy relative to the elements comes out at -0.71 eV/f.u. Its space-group type is P-3m1. The calculation puts the volume at 29.5 Å³ per atom. The calculation puts the density at 2.82 Mg/m³. The density of states at the Fermi level comes out at 4.0 states/eV/f.u.

No. 12
A geometry-optimized LiIn2Re structure. Source: the Alexandria database, functional GGA-PBE.

abc: 5.0669 5.0669 5.0669
angles: 131.94 131.94 70.33
Fractional coordinates of all 4 atoms:
1 Re 0.7500 0.2500 0.5000
2 In 0.0000 0.0000 0.0000
3 In 0.5000 0.5000 0.0000
4 Li 0.2500 0.7500 0.5000

Values from the calculation:
The energy relative to the elements comes out at 1.26 eV/f.u. Its space-group type is I4/mmm. The calculation puts the volume at 17.6 Å³ per atom. The calculation puts the density at 9.95 Mg/m³. The density of states at the Fermi level comes out at 0.7 states/eV/f.u.